DFT (PBE+U) results for BaLi2MoF8 after structural relaxation.

a = 4.733 Å, b = 5.234 Å, c = 7.626 Å
α = 79.34°, β = 81.69°, γ = 79.05°
Atoms (fractional coordinates):
Ba: 0.000 0.000 0.000
Li: 0.463 0.451 0.206
Li: 0.537 0.549 0.794
Mo: 0.000 0.000 0.500
F: 0.175 0.757 0.717
F: 0.201 0.772 0.320
F: 0.297 0.226 0.440
F: 0.404 0.286 0.003
F: 0.596 0.714 0.997
F: 0.703 0.774 0.560
F: 0.799 0.228 0.680
F: 0.825 0.243 0.283

Its uncorrected energy is -63.56 eV/f.u.